A geometry-optimized YTmTc structure. Source: OQMD via LeMat-Bulk, functional PBE.

Calculated values
The calculation puts the total energy at -6.17 eV/atom. As for the formation energy: 0.926 eV per atom.

Structure (CIF):
```
data_YTmTc
_chemical_formula_sum 'Y4 Tm4 Tc4'
_cell_length_a 6.7094
_cell_length_b 6.7094
_cell_length_c 6.7094
_cell_angle_alpha 90.00
_cell_angle_beta 90.00
_cell_angle_gamma 90.00
_space_group_name_H-M_alt 'P 1'
_space_group_IT_number 1
loop_
_space_group_symop_operation_xyz
'x,y,z'
loop_
_atom_site_label
_atom_site_fract_x
_atom_site_fract_y
_atom_site_fract_z
Y1 0.0000 0.0000 0.0000
Y2 0.0000 0.5000 0.5000
Y3 0.5000 0.0000 0.5000
Y4 0.5000 0.5000 0.0000
Tm1 0.2500 0.2500 0.7500
Tm2 0.2500 0.7500 0.2500
Tm3 0.7500 0.2500 0.2500
Tm4 0.7500 0.7500 0.7500
Tc1 0.0000 0.0000 0.5000
Tc2 0.0000 0.5000 0.0000
Tc3 0.5000 0.0000 0.0000
Tc4 0.5000 0.5000 0.5000
```



A geometry-optimized Er3Re3W2N12 structure. Source: OQMD via LeMat-Bulk, functional PBE.

Calculated values
The calculation puts the total energy at -9.43 eV/atom.

Structure (CIF):
```
data_Er3Re3W2N12
_chemical_formula_sum 'Er12 Re12 W8 N48'
_cell_length_a 10.9309
_cell_length_b 10.9309
_cell_length_c 10.9309
_cell_angle_alpha 109.47
_cell_angle_beta 109.47
_cell_angle_gamma 109.47
_space_group_name_H-M_alt 'P 1'
_space_group_IT_number 1
loop_
_space_group_symop_operation_xyz
'x,y,z'
loop_
_atom_site_label
_atom_site_fract_x
_atom_site_fract_y
_atom_site_fract_z
Er1 0.1250 0.2500 0.3750
Er2 0.1250 0.3750 0.7500
Er3 0.2500 0.3750 0.1250
Er4 0.2500 0.8750 0.6250
Er5 0.3750 0.1250 0.2500
Er6 0.3750 0.7500 0.1250
Er7 0.6250 0.2500 0.8750
Er8 0.6250 0.8750 0.7500
Er9 0.7500 0.1250 0.3750
Er10 0.7500 0.6250 0.8750
Er11 0.8750 0.6250 0.2500
Er12 0.8750 0.7500 0.6250
Re1 0.1250 0.7500 0.8750
Re2 0.1250 0.8750 0.2500
Re3 0.2500 0.1250 0.8750
Re4 0.2500 0.6250 0.3750
Re5 0.3750 0.2500 0.6250
Re6 0.3750 0.6250 0.7500
Re7 0.6250 0.3750 0.2500
Re8 0.6250 0.7500 0.3750
Re9 0.7500 0.3750 0.6250
Re10 0.7500 0.8750 0.1250
Re11 0.8750 0.1250 0.7500
Re12 0.8750 0.2500 0.1250
W1 0.0000 0.0000 0.0000
W2 0.0000 0.0000 0.5000
W3 0.0000 0.5000 0.0000
W4 0.0000 0.5000 0.5000
W5 0.5000 0.0000 0.0000
W6 0.5000 0.0000 0.5000
W7 0.5000 0.5000 0.0000
W8 0.5000 0.5000 0.5000
N1 0.0220 0.2030 0.1184
N2 0.0220 0.3190 0.9035
N3 0.0846 0.7030 0.6810
N4 0.0846 0.8816 0.4035
N5 0.0965 0.6184 0.4154
N6 0.0965 0.9780 0.6810
N7 0.1184 0.0220 0.2030
N8 0.1184 0.5965 0.9154
N9 0.1810 0.2030 0.5846
N10 0.1810 0.4780 0.5965
N11 0.2030 0.1184 0.0220
N12 0.2030 0.5846 0.1810
N13 0.2970 0.3190 0.9154
N14 0.2970 0.4780 0.3816
N15 0.3190 0.9035 0.0220
N16 0.3190 0.9154 0.2970
N17 0.3816 0.2970 0.4780
N18 0.3816 0.5846 0.9035
N19 0.4035 0.0846 0.8816
N20 0.4035 0.8190 0.5220
N21 0.4154 0.0965 0.6184
N22 0.4154 0.8190 0.7970
N23 0.4780 0.3816 0.2970
N24 0.4780 0.5965 0.1810
N25 0.5220 0.4035 0.8190
N26 0.5220 0.6184 0.7030
N27 0.5846 0.1810 0.2030
N28 0.5846 0.9035 0.3816
N29 0.5965 0.1810 0.4780
N30 0.5965 0.9154 0.1184
N31 0.6184 0.4154 0.0965
N32 0.6184 0.7030 0.5220
N33 0.6810 0.0846 0.7030
N34 0.6810 0.0965 0.9780
N35 0.7030 0.5220 0.6184
N36 0.7030 0.6810 0.0846
N37 0.7970 0.4154 0.8190
N38 0.7970 0.8816 0.9780
N39 0.8190 0.5220 0.4035
N40 0.8190 0.7970 0.4154
N41 0.8816 0.4035 0.0846
N42 0.8816 0.9780 0.7970
N43 0.9035 0.0220 0.3190
N44 0.9035 0.3816 0.5846
N45 0.9154 0.1184 0.5965
N46 0.9154 0.2970 0.3190
N47 0.9780 0.6810 0.0965
N48 0.9780 0.7970 0.8816
```



A geometry-optimized PrSmNi2B2P2 structure. Source: OQMD via LeMat-Bulk, functional PBE.

Calculated values
The calculation puts the total energy at -6.31 eV/atom.

Structure (CIF):
```
data_PrSmNi2B2P2
_chemical_formula_sum 'Pr1 Sm1 Ni2 B2 P2'
_cell_length_a 4.0036
_cell_length_b 4.0036
_cell_length_c 7.9035
_cell_angle_alpha 90.00
_cell_angle_beta 90.00
_cell_angle_gamma 90.00
_space_group_name_H-M_alt 'P 1'
_space_group_IT_number 1
loop_
_space_group_symop_operation_xyz
'x,y,z'
loop_
_atom_site_label
_atom_site_fract_x
_atom_site_fract_y
_atom_site_fract_z
Pr1 0.0000 0.0000 0.0000
Sm1 0.5000 0.5000 0.5927
Ni1 0.0000 0.5000 0.2971
Ni2 0.5000 0.0000 0.2971
B1 0.0000 0.0000 0.3824
B2 0.5000 0.5000 0.2053
P1 0.0000 0.0000 0.6282
P2 0.5000 0.5000 0.9579
```



A geometry-optimized NdMgGa structure. Source: OQMD via LeMat-Bulk, functional PBE.

Calculated values
The calculation puts the total energy at -3.37 eV/atom.

Structure (CIF):
```
data_NdMgGa
_chemical_formula_sum 'Nd3 Mg3 Ga3'
_cell_length_a 7.3598
_cell_length_b 7.3598
_cell_length_c 4.6151
_cell_angle_alpha 90.00
_cell_angle_beta 90.00
_cell_angle_gamma 120.00
_space_group_name_H-M_alt 'P 1'
_space_group_IT_number 1
loop_
_space_group_symop_operation_xyz
'x,y,z'
loop_
_atom_site_label
_atom_site_fract_x
_atom_site_fract_y
_atom_site_fract_z
Nd1 0.0000 0.5706 0.0000
Nd2 0.4294 0.4294 0.0000
Nd3 0.5706 0.0000 0.0000
Mg1 0.0000 0.0000 0.0000
Mg2 0.3333 0.6667 0.5000
Mg3 0.6667 0.3333 0.5000
Ga1 0.0000 0.2415 0.5000
Ga2 0.2415 0.0000 0.5000
Ga3 0.7585 0.7585 0.5000
```